Arrangement a

The following is a DFT calculation (GGA-PBE) of crystalline Al2Sb3 at its relaxed geometry.

Cell: 8.6946 8.6946 8.6946 Å, 27.84 27.84 27.84°
Last column: nearest neighbours and their distance in Å.
Fractional positions:
1 Sb 0.0000 0.0000 0.0000  6 Al 2.88
2 Sb 0.7958 0.7958 0.7958  3 Al 2.94, 3 Sb 3.06
3 Sb 0.2042 0.2042 0.2042  3 Al 2.94, 3 Sb 3.06
4 Al 0.6043 0.6043 0.6043  6 Sb 2.88-2.94
5 Al 0.3957 0.3957 0.3957  6 Sb 2.88-2.94

Summary:
- Space group: R-3m, No. 166



Arrangement b

The following is a DFT calculation (GGA-PBE) of crystalline Al2Sb3 at its relaxed geometry.

Cell: 7.6953 7.6953 6.7158 Å, 55.05 55.05 60.00°
Last column: nearest neighbours and their distance in Å.
Fractional positions:
1 Sb 0.5906 0.9094 0.2500  4 Al 2.78-2.97
2 Sb 0.4094 0.0906 0.7500  4 Al 2.78-2.97
3 Sb 0.0906 0.7500 0.7500  4 Al 2.78-2.97
4 Sb 0.7500 0.4094 0.7500  4 Al 2.78-2.97
5 Sb 0.9094 0.2500 0.2500  4 Al 2.78-2.97
6 Sb 0.2500 0.5906 0.2500  4 Al 2.78-2.97
7 Al 0.8421 0.8421 0.4737  6 Sb 2.78-2.97, 1 Al 2.78
8 Al 0.1579 0.1579 0.5263  6 Sb 2.78-2.97, 1 Al 2.78
9 Al 0.3421 0.3421 0.9737  6 Sb 2.78-2.97, 1 Al 2.78
10 Al 0.6579 0.6579 0.0263  6 Sb 2.78-2.97, 1 Al 2.78

Summary:
- Space group: R-3c, No. 167



It turns out arrangement a is the most stable, with the second structure 4.8 kJ/mol of atoms higher.



Arrangement a

The following is a DFT calculation (GGA-PBE) of crystalline AlSb5 at its relaxed geometry.

Cell: 6.3145 6.3145 8.0799 Å, 71.72 71.72 31.56°
Last column: nearest neighbours and their distance in Å.
Fractional positions:
1 Sb 0.6696 0.6696 0.6568  2 Al 2.95, 3 Sb 3.28
2 Sb 0.3859 0.3859 0.2318  2 Al 2.95, 3 Sb 3.28-3.29
3 Sb 0.0277 0.0277 0.4446  10 Sb 3.27-3.43
4 Sb 0.6718 0.6718 0.0969  2 Al 2.99, 3 Sb 3.27-3.28
5 Sb 0.3837 0.3837 0.7921  2 Al 2.99, 3 Sb 3.27-3.28
6 Al 0.0279 0.0279 0.9444  8 Sb 2.95-2.99

Summary:
- Space group: C2/m, No. 12



Arrangement b

The following is a DFT calculation (GGA-PBE) of crystalline AlSb5 at its relaxed geometry.

Cell: 5.7732 5.7732 5.4674 Å, 90.00 90.00 120.00°
Last column: nearest neighbours and their distance in Å.
Fractional positions:
1 Sb 0.0000 0.6946 0.0000  6 Sb 3.05-3.39, 2 Al 3.25
2 Sb 0.3054 0.3054 0.0000  6 Sb 3.05-3.39, 2 Al 3.25
3 Sb 0.6667 0.3333 0.5000  9 Sb 3.33-3.39, 3 Al 3.33
4 Sb 0.6946 0.0000 0.0000  6 Sb 3.05-3.39, 2 Al 3.25
5 Sb 0.3333 0.6667 0.5000  9 Sb 3.33-3.39, 3 Al 3.33
6 Al 0.0000 0.0000 0.5000  12 Sb 3.25-3.33

Summary:
- Space group: P-62m, No. 189



It turns out arrangement a is the most stable, with the second structure 5.3 kJ/mol of atoms higher.



Arrangement a

The following is a DFT calculation (GGA-PBE) of crystalline AlSb5 at its relaxed geometry.

Cell: 9.4603 9.4603 4.6490 Å, 90.00 90.00 156.19°
Last column: nearest neighbours and their distance in Å.
Fractional positions:
1 Sb 0.8787 0.1213 0.0000  2 Al 2.98, 6 Sb 3.23-3.29
2 Sb 0.6898 0.3102 0.5000  6 Sb 2.96-3.29
3 Sb 0.1213 0.8787 0.0000  2 Al 2.98, 6 Sb 3.23-3.29
4 Sb 0.0000 0.0000 0.5000  4 Al 3.03, 4 Sb 3.23
5 Sb 0.3102 0.6898 0.5000  6 Sb 2.96-3.29
6 Al 0.5000 0.5000 0.0000  8 Sb 2.98-3.03

Summary:
- Space group: Cmmm, No. 65



Arrangement b

The following is a DFT calculation (GGA-PBE) of crystalline AlSb5 at its relaxed geometry.

Cell: 6.7622 6.7622 6.1193 Å, 90.00 90.00 143.00°
Last column: nearest neighbours and their distance in Å.
Fractional positions:
1 Al 0.0558 0.9442 0.0000  6 Sb 2.91-3.06
2 Sb 0.7090 0.2910 0.0000  2 Al 2.91, 2 Sb 3.06
3 Sb 0.7229 0.2771 0.5000  6 Sb 3.01-3.06
4 Sb 0.4026 0.5974 0.0000  2 Al 2.91, 2 Sb 3.07
5 Sb 0.3876 0.6124 0.5000  6 Sb 3.01-3.07
6 Sb 0.0554 0.9446 0.5000  4 Sb 3.04, 2 Al 3.06

Summary:
- Space group: Amm2, No. 38



It turns out arrangement b is the most stable, with the second structure 9.9 kJ/mol of atoms higher.